Entry from Alexandria: crystalline BaTe2Ir at its relaxed geometry (PBE).

Computed properties:
Total magnetization: 0.8 Bohr magnetons per cell
Volume: 140.6 Å³/cell
SG: R-3m (166)
Offset from the most stable computed form: 392 meV per atom
Raw formation energy: -0.30 eV per atom
Calculated density: 6.91 Mg/m³

Unit cell a=9.7791 b=9.7791 c=9.7791 alpha=24.42 beta=24.42 gamma=24.42
Last column: magnetic moment on the atom in μB.
Fractional positions:
1 Ir 0.5000 0.5000 0.5000  0.03
2 Te 0.8784 0.8784 0.8784  0.01
3 Te 0.1216 0.1216 0.1216  0.01
4 Ba 0.0000 0.0000 0.0000  0.24



Entry from Alexandria: crystalline Ba2Te4Ir at its relaxed geometry (PBE).

Computed properties:
Total magnetization: 0.0 Bohr magnetons per cell
Volume: 248.6 Å³/cell
SG: I4/mmm (139)
Raw formation energy: -0.81 eV per atom
Calculated density: 6.53 Mg/m³

Unit cell a=5.3449 b=5.3449 c=9.4867 alpha=73.64 beta=73.64 gamma=90.00
Fractional positions:
1 Ir 0.0000 0.0000 0.0000
2 Te 0.1587 0.1587 0.6825
3 Te 0.8413 0.8413 0.3175
4 Te 0.0000 0.5000 0.0000
5 Te 0.5000 0.0000 0.0000
6 Ba 0.3579 0.3579 0.2842
7 Ba 0.6421 0.6421 0.7158